DFT (PBE) results for a relaxed CdSn2AsPd crystal.

Computed properties:
Size of the total moment: 0.000 μB/atom
Calculated volume: 23.59 Å³/atom
Energy of formation: -0.174 eV per atom
N(E_F): 3.00 states/eV/cell
Relative energy among the computed polymorphs: 16 meV per atom

Unit cell a=7.909 b=4.375 c=7.440 alpha=90.00 beta=113.63 gamma=90.00
Space group Cm (No. 8)
Symmetry-distinct sites (fractional):
1 Cd 0.000 0.000 0.000 [2 per cell]
2 Sn 0.220 0.000 0.743 [2 per cell]
3 Sn 0.441 0.000 0.432 [2 per cell]
4 As 0.258 0.500 0.181 [2 per cell]
5 Pd 0.315 0.500 0.571 [2 per cell]